The following is a PBE+U calculation of an optimized crystal structure of Fe2AsF, from the Alexandria database.

The structure belongs to space group I-42d (No. 122); the cell edges are 4.987, 4.987 and 12.756 Å and the angles 90.00°, 90.00° and 90.00°. Symmetry generates all atoms from Fe at (0.202, 0.250, 0.125), As at (0.000, 0.000, 0.500) and F at (0.000, 0.000, 0.000).

For the mass density, the calculation gives 4.30 Mg/m³. The calculation puts the size of the total moment at 32.0 μB/cell. The calculation puts the polymorph energy (0 for the lowest one) at 0.000 eV per atom. The crystal system is tetragonal. As for the total energy: -0.178 Ha/atom.